No. 1
This record from Alexandria describes a relaxed Ca4PdN2 crystal. The functional is GGA-PBE.

The value obtained for the electronic total energy is -4.970 eV/atom. The formation energy (no corrections) comes out at -0.71 eV/atom.

It has space group Cmcm (No. 63), with a = 3.7033 Å, b = 12.1754 Å, c = 12.4112 Å, α = 90.00°, β = 90.00° and γ = 90.00°. The inequivalent atoms are Ca at (0.0000, 0.0000, 0.0000), Ca at (0.0000, 0.2617, 0.0999), Ca at (0.0000, 0.4381, 0.7500), Pd at (0.0000, 0.1205, 0.7500) and N at (0.0000, 0.3636, 0.5693).

No. 2
This record from Alexandria describes a relaxed Rb3C crystal. The functional is GGA-PBE.

As for the formation energy: 4.7 eV per formula unit. The calculation puts the density of states at the Fermi level at 0.54 states/eV/atom. The value obtained for the electronic total energy is -1.859 eV/atom. For the energy relative to the lowest polymorph listed for this composition, the calculation gives 93 meV per atom.

It has space group Cmmm (No. 65), with a = 5.8265 Å, b = 5.9519 Å, c = 12.1358 Å, α = 90.00°, β = 90.00° and γ = 90.00°. The inequivalent atoms are Rb at (0.0000, 0.0000, 0.0000), Rb at (0.0000, 0.5000, 0.3591) and C at (0.0000, 0.0000, 0.5000).

No. 3
This record from Alexandria describes a relaxed TiCrCuS4 crystal. The functional is GGA-PBE.

The calculation puts the density of states at the Fermi level at 0.20 states/eV/atom. The value obtained for the electronic total energy is -6.286 eV/atom. The formation energy (no corrections) comes out at -0.84 eV/atom. For the energy relative to the lowest polymorph listed for this composition, the calculation gives 64 meV per atom.

It has space group Cm (No. 8), with a = 12.9242 Å, b = 3.4556 Å, c = 5.9138 Å, α = 90.00°, β = 117.08° and γ = 90.00°. The inequivalent atoms are Ti at (0.0000, 0.0000, 0.0000), Cr at (0.4911, 0.0000, 0.4427), Cu at (0.2477, 0.5000, 0.7167), S at (0.1076, 0.0000, 0.7335), S at (0.1252, 0.5000, 0.2641), S at (0.3672, 0.5000, 0.1717) and S at (0.3820, 0.0000, 0.6823).

No. 4
This record from Alexandria describes a relaxed ZrTi2ReH crystal. The functional is GGA-PBE.

The calculation puts the density of states at the Fermi level at 1.13 states/eV/atom. The value obtained for the electronic total energy is -8.140 eV/atom.

It has space group P4/mmm (No. 123), with a = 3.9110 Å, b = 3.9110 Å, c = 4.7195 Å, α = 90.00°, β = 90.00° and γ = 90.00°. The inequivalent atoms are Zr at (0.0000, 0.0000, 0.0000), Ti at (0.0000, 0.5000, 0.5000), Re at (0.5000, 0.5000, 0.0000) and H at (0.0000, 0.0000, 0.5000).

Q: What is the electronic total energy in the fourth record?
A: -8.140 eV/atom

Please write out number 3 again, unchanged.
This record from Alexandria describes a relaxed TiCrCuS4 crystal. The functional is GGA-PBE.

The calculation puts the density of states at the Fermi level at 0.20 states/eV/atom. The value obtained for the electronic total energy is -6.286 eV/atom. The formation energy (no corrections) comes out at -0.84 eV/atom. For the energy relative to the lowest polymorph listed for this composition, the calculation gives 64 meV per atom.

It has space group Cm (No. 8), with a = 12.9242 Å, b = 3.4556 Å, c = 5.9138 Å, α = 90.00°, β = 117.08° and γ = 90.00°. The inequivalent atoms are Ti at (0.0000, 0.0000, 0.0000), Cr at (0.4911, 0.0000, 0.4427), Cu at (0.2477, 0.5000, 0.7167), S at (0.1076, 0.0000, 0.7335), S at (0.1252, 0.5000, 0.2641), S at (0.3672, 0.5000, 0.1717) and S at (0.3820, 0.0000, 0.6823).

Q: electronic total energy of number 1 (Ca4PdN2)?
A: -4.970 eV/atom

Q: Which of these has the highest electronic total energy?
A: Rb3C